[1]
# Tb5Pr5Nd GGA-PBE relaxed
# Formation energy from the elements: 26.4 kJ/mol of atoms
data_Tb5Pr5Nd
_cell_length_a 6.2042
_cell_length_b 6.2042
_cell_length_c 11.8061
_cell_angle_alpha 90.00
_cell_angle_beta 90.00
_cell_angle_gamma 120.00
_space_group_name_H-M_alt 'P -6 m 2'
_space_group_IT_number 187
_space_group_name_Hall 'P -6 2'
loop_
_atom_site_label
_atom_site_fract_x
_atom_site_fract_y
_atom_site_fract_z
Tb1 0.0000 0.0000 0.2338
Tb2 0.3338 0.1669 0.0000
Pr1 0.0000 0.0000 0.5000
Pr2 0.3333 0.6667 0.1792
Pr3 0.6667 0.3333 0.3433
Nd1 0.3333 0.6667 0.5000

[2]
# BaCa4Pd5 GGA-PBE relaxed
# Formation energy from the elements: -59.1 kJ/mol of atoms
data_BaCa4Pd5
_cell_length_a 3.6184
_cell_length_b 3.6184
_cell_length_c 17.9308
_cell_angle_alpha 90.00
_cell_angle_beta 90.00
_cell_angle_gamma 90.00
_space_group_name_H-M_alt 'P 4/m m m'
_space_group_IT_number 123
_space_group_name_Hall '-P 4 2'
loop_
_atom_site_label
_atom_site_fract_x
_atom_site_fract_y
_atom_site_fract_z
Ba1 0.0000 0.0000 0.0000
Ca1 0.0000 0.0000 0.2115
Ca2 0.0000 0.0000 0.4038
Pd1 0.5000 0.5000 0.1244
Pd2 0.5000 0.5000 0.3082
Pd3 0.5000 0.5000 0.5000

[3]
# Ba3ScTc GGA-PBE relaxed
# Polymorph energy (0 for the lowest one): 0.0000 eV/atom
# Formation energy from the elements: 74.3 kJ/mol of atoms
data_Ba3ScTc
_cell_length_a 5.9106
_cell_length_b 5.9106
_cell_length_c 5.9106
_cell_angle_alpha 90.00
_cell_angle_beta 90.00
_cell_angle_gamma 90.00
_space_group_name_H-M_alt 'P m -3 m'
_space_group_IT_number 221
_space_group_name_Hall '-P 4 2 3'
loop_
_atom_site_label
_atom_site_fract_x
_atom_site_fract_y
_atom_site_fract_z
Ba1 0.0000 0.0000 0.5000
Sc1 0.5000 0.5000 0.5000
Tc1 0.0000 0.0000 0.0000

[4]
# VZn5Cu6 GGA-PBE relaxed
# Formation energy from the elements: -0.7 kJ/mol of atoms
data_VZn5Cu6
_cell_length_a 3.9750
_cell_length_b 6.6460
_cell_length_c 6.2832
_cell_angle_alpha 90.00
_cell_angle_beta 108.36
_cell_angle_gamma 90.00
_space_group_name_H-M_alt 'P 1 2/m 1'
_space_group_IT_number 10
_space_group_name_Hall '-P 2y'
loop_
_atom_site_label
_atom_site_fract_x
_atom_site_fract_y
_atom_site_fract_z
V1 0.0000 0.0000 0.0000
Zn1 0.0000 0.5000 0.0000
Zn2 0.3335 0.0000 0.6675
Zn3 0.3337 0.5000 0.6665
Cu1 0.1658 0.2522 0.3310
Cu2 0.5000 0.2541 0.0000

[5]
# V3TcW6 GGA-PBE relaxed
# Formation energy from the elements: 29.8 kJ/mol of atoms
data_V3TcW6
_cell_length_a 10.4984
_cell_length_b 2.6042
_cell_length_c 11.5268
_cell_angle_alpha 90.00
_cell_angle_beta 96.30
_cell_angle_gamma 90.00
_space_group_name_H-M_alt 'P 1 21/m 1'
_space_group_IT_number 11
_space_group_name_Hall '-P 2yb'
loop_
_atom_site_label
_atom_site_fract_x
_atom_site_fract_y
_atom_site_fract_z
V1 0.0746 0.2500 0.0973
V2 0.2759 0.2500 0.7028
V3 0.3813 0.7500 0.5084
Tc1 0.3175 0.2500 0.0984
W1 0.0227 0.2500 0.7069
W2 0.1270 0.7500 0.5101
W3 0.1721 0.7500 0.9014
W4 0.2272 0.2500 0.3099
W5 0.4258 0.7500 0.8996
W6 0.4747 0.7500 0.2971

[6]
# Ti4IrN GGA-PBE relaxed
# Formation energy without anion corrections: -0.66 eV per atom
data_Ti4IrN
_cell_length_a 4.1758
_cell_length_b 7.7394
_cell_length_c 5.9161
_cell_angle_alpha 90.00
_cell_angle_beta 90.00
_cell_angle_gamma 90.00
_space_group_name_H-M_alt 'P m m n'
_space_group_IT_number 59
loop_
_space_group_symop_operation_xyz
'x,y,z'
'-x,-y,-z'
'-x+1/2,-y+1/2,z'
'x+1/2,y+1/2,-z'
'x+1/2,-y,-z'
'-x+1/2,y,z'
'-x,y+1/2,-z'
'x,-y+1/2,z'
loop_
_atom_site_label
_atom_site_fract_x
_atom_site_fract_y
_atom_site_fract_z
Ti1 0.2500 0.0506 0.2015
Ti2 0.2500 0.2500 0.7431
Ti3 0.2500 0.7500 0.5687
Ir1 0.2500 0.7500 0.0231
N1 0.2500 0.2500 0.4140

[7]
# AcLa3Pm7 GGA-PBE relaxed
# Polymorph energy (0 for the lowest one): 0.0142 eV/atom
# Formation energy from the elements: 18.4 kJ/mol of atoms
data_AcLa3Pm7
_cell_length_a 12.0152
_cell_length_b 10.2555
_cell_length_c 6.6717
_cell_angle_alpha 90.00
_cell_angle_beta 95.00
_cell_angle_gamma 90.00
_space_group_name_H-M_alt 'C 1 2/m 1'
_space_group_IT_number 12
_space_group_name_Hall '-C 2y'
loop_
_atom_site_label
_atom_site_fract_x
_atom_site_fract_y
_atom_site_fract_z
Ac1 0.0000 0.0000 0.0000
La1 0.0000 0.3228 0.5000
La2 0.0000 0.5000 0.0000
Pm1 0.0000 0.0000 0.5000
Pm2 0.2338 0.5000 0.7016
Pm3 0.2469 0.1743 0.7592

[8]
# Pa4Te3Ir GGA-PBE relaxed
# Formation energy without anion corrections: -0.69 eV per atom
data_Pa4Te3Ir
_cell_length_a 8.8875
_cell_length_b 12.1917
_cell_length_c 4.1310
_cell_angle_alpha 90.00
_cell_angle_beta 90.00
_cell_angle_gamma 90.00
_space_group_name_H-M_alt 'C m m m'
_space_group_IT_number 65
_space_group_name_Hall '-C 2 2'
loop_
_atom_site_label
_atom_site_fract_x
_atom_site_fract_y
_atom_site_fract_z
Pa1 0.0000 0.2329 0.0000
Pa2 0.2124 0.0000 0.5000
Te1 0.0000 0.5000 0.0000
Te2 0.2500 0.2500 0.5000
Ir1 0.0000 0.0000 0.0000

Size of the total moment for every record listed, in sequence, given in μB per cell: 0.00 0.00 0.00 1.94 0.00 0.00 0.00 3.79.